1.
VASP calculation (PBE-GGA) on Mn2VAs4 after structural relaxation.

## Properties
E   -6.85 eV/atom
Energy relative to the elements   -26 kJ/mol of atoms

Geometry as CIF:
```
data_Mn2VAs4
_chemical_formula_sum 'Mn4 V2 As8'
_cell_length_a 12.5315
_cell_length_b 3.3314
_cell_length_c 6.0835
_cell_angle_alpha 90.00
_cell_angle_beta 113.44
_cell_angle_gamma 90.00
_space_group_name_H-M_alt 'C 1 2/m 1'
_space_group_IT_number 12
loop_
_space_group_symop_operation_xyz
'x,y,z'
'-x,-y,-z'
'-x,y,-z'
'x,-y,z'
'x+1/2,y+1/2,z'
'-x+1/2,-y+1/2,-z'
'-x+1/2,y+1/2,-z'
'x+1/2,-y+1/2,z'
loop_
_atom_site_label
_atom_site_type_symbol
_atom_site_fract_x
_atom_site_fract_y
_atom_site_fract_z
Mn1 Mn 0.2463 0.0000 0.3032
V1 V 0.0000 0.0000 0.0000
As1 As 0.1035 0.5000 0.3160
As2 As 0.1582 0.0000 0.8480
```

=====

2.
VASP calculation (PBE-GGA) on Ba3PaCu2O6 after structural relaxation.

## Properties
E   -6.65 eV/atom
E_form (uncorrected)   -26.653 eV per formula unit

Geometry as CIF:
```
data_Ba3PaCu2O6
_chemical_formula_sum 'Ba3 Pa1 Cu2 O6'
_cell_length_a 6.1134
_cell_length_b 6.1134
_cell_length_c 7.0752
_cell_angle_alpha 90.00
_cell_angle_beta 90.00
_cell_angle_gamma 120.00
_space_group_name_H-M_alt 'P -3 m 1'
_space_group_IT_number 164
_space_group_name_Hall '-P 3 2"'
loop_
_atom_site_label
_atom_site_type_symbol
_atom_site_fract_x
_atom_site_fract_y
_atom_site_fract_z
Ba1 Ba 0.0000 0.0000 0.0000
Ba2 Ba 0.3333 0.6667 0.6538
Pa1 Pa 0.0000 0.0000 0.5000
Cu1 Cu 0.3333 0.6667 0.1839
O1 O 0.1649 0.3297 0.3171
```

=====

3.
VASP calculation (PBE-GGA) on MnTeI6 after structural relaxation.

## Properties
E   -2.87 eV/atom
Distance to the lowest polymorph of the same formula   0.00 eV/f.u.
E_form (uncorrected)   -1.324 eV per formula unit

Geometry as CIF:
```
data_MnTeI6
_chemical_formula_sum 'Mn2 Te2 I12'
_cell_length_a 7.2973
_cell_length_b 13.6836
_cell_length_c 7.2948
_cell_angle_alpha 90.00
_cell_angle_beta 109.68
_cell_angle_gamma 90.00
_space_group_name_H-M_alt 'C 1 2/m 1'
_space_group_IT_number 12
loop_
_space_group_symop_operation_xyz
'x,y,z'
'-x,-y,-z'
'-x,y,-z'
'x,-y,z'
'x+1/2,y+1/2,z'
'-x+1/2,-y+1/2,-z'
'-x+1/2,y+1/2,-z'
'x+1/2,-y+1/2,z'
loop_
_atom_site_label
_atom_site_type_symbol
_atom_site_fract_x
_atom_site_fract_y
_atom_site_fract_z
Mn1 Mn 0.0000 0.0000 0.0000
Te1 Te 0.0000 0.5000 0.5000
I1 I 0.2379 0.1483 0.2376
I2 I 0.2490 0.5000 0.2518
```